(1)
The following is a GGA-PBEsol calculation of PbWO3 after structural relaxation, from Alexandria.

Unit cell a=3.991 b=3.991 c=3.991 alpha=90.00 beta=90.00 gamma=90.00
Space group Pm-3m (No. 221)
One atom of each set of equivalent atoms:
Pb  0.000  0.000  0.000 (multiplicity 1)
W  0.500  0.500  0.500 (multiplicity 1)
O  0.000  0.500  0.500 (multiplicity 3)

Computed properties:
**Theoretical density**: 11.5 g/cm³
**Formation energy from raw total energies**: -1545 meV/atom
**DOS at the Fermi energy**: 1.3 states/eV/cell

(2)
The following is a GGA-PBEsol calculation of TiFe3Au after structural relaxation, from Alexandria.

Unit cell a=4.619 b=4.619 c=4.619 alpha=90.00 beta=90.00 gamma=90.00
Space group Pm-3m (No. 221)
One atom of each set of equivalent atoms:
Ti  0.000  0.000  0.000 (multiplicity 1)
Fe  0.000  0.500  0.500 (multiplicity 3)
Au  0.500  0.500  0.500 (multiplicity 1)

Computed properties:
**Theoretical density**: 6.9 g/cm³
**Formation energy from the elements**: 7.244 eV per formula unit
**DOS at the Fermi energy**: 6.3 states/eV/cell

(3)
The following is a GGA-PBEsol calculation of ZrTeOsN2 after structural relaxation, from Alexandria.

Unit cell a=4.016 b=4.016 c=5.970 alpha=90.00 beta=90.00 gamma=90.00
Space group P4/mmm (No. 123)
One atom of each set of equivalent atoms:
Zr  0.000  0.000  0.000 (multiplicity 1)
Te  0.000  0.000  0.500 (multiplicity 1)
Os  0.500  0.500  0.500 (multiplicity 1)
N  0.000  0.500  0.000 (multiplicity 2)

Computed properties:
**Excess energy over the best structure of this formula in the dataset**: 0.641 eV per atom
**Theoretical density**: 7.5 g/cm³
**Formation energy from raw total energies**: 1220 meV/atom
**DOS at the Fermi energy**: 5.4 states/eV/cell

(4)
The following is a GGA-PBEsol calculation of BeCrIO2 after structural relaxation, from Alexandria.

Unit cell a=3.614 b=3.614 c=6.282 alpha=90.00 beta=90.00 gamma=90.00
Space group P4/mmm (No. 123)
One atom of each set of equivalent atoms:
Be  0.000  0.000  0.000 (multiplicity 1)
Cr  0.500  0.500  0.500 (multiplicity 1)
I  0.500  0.500  0.000 (multiplicity 1)
O  0.000  0.500  0.500 (multiplicity 2)

Computed properties:
**Theoretical density**: 4.5 g/cm³
**Formation energy from raw total energies**: -537 meV/atom
**DOS at the Fermi energy**: 1.6 states/eV/cell

(5)
The following is a GGA-PBEsol calculation of CaHg2GeOs after structural relaxation, from Alexandria.

Unit cell a=4.928 b=4.928 c=5.516 alpha=90.00 beta=90.00 gamma=90.00
Space group P4/mmm (No. 123)
One atom of each set of equivalent atoms:
Ca  0.000  0.000  0.000 (multiplicity 1)
Hg  0.000  0.500  0.500 (multiplicity 2)
Ge  0.000  0.000  0.500 (multiplicity 1)
Os  0.500  0.500  0.000 (multiplicity 1)

Computed properties:
**Theoretical density**: 8.7 g/cm³
**Formation energy from the elements**: 6.173 eV per formula unit
**DOS at the Fermi energy**: 4.1 states/eV/cell

(6)
The following is a GGA-PBEsol calculation of Cs4Os2Cl10O after structural relaxation, from Alexandria.

Unit cell a=11.713 b=13.805 c=12.439 alpha=90.00 beta=90.00 gamma=90.00
Space group Pbca (No. 61)
One atom of each set of equivalent atoms:
Cs  0.021  0.145  0.226 (multiplicity 8)
Cs  0.220  0.637  0.605 (multiplicity 8)
Os  0.090  0.594  0.944 (multiplicity 8)
Cl  0.013  0.099  0.719 (multiplicity 8)
Cl  0.026  0.221  0.488 (multiplicity 8)
Cl  0.205  0.604  0.101 (multiplicity 8)
Cl  0.205  0.717  0.872 (multiplicity 8)
Cl  0.221  0.017  0.367 (multiplicity 8)
O  0.000  0.000  0.500 (multiplicity 4)

Computed properties:
**Theoretical density**: 4.2 g/cm³
**Formation energy from raw total energies**: -1292 meV/atom

Question: Look up the theoretical density of the sixth one.
Answer: 4.2 g/cm³

Question: Look up the theoretical density of the fifth one.
Answer: 8.7 g/cm³

Please write out number 3 again, unchanged.
The following is a GGA-PBEsol calculation of ZrTeOsN2 after structural relaxation, from Alexandria.

Unit cell a=4.016 b=4.016 c=5.970 alpha=90.00 beta=90.00 gamma=90.00
Space group P4/mmm (No. 123)
One atom of each set of equivalent atoms:
Zr  0.000  0.000  0.000 (multiplicity 1)
Te  0.000  0.000  0.500 (multiplicity 1)
Os  0.500  0.500  0.500 (multiplicity 1)
N  0.000  0.500  0.000 (multiplicity 2)

Computed properties:
**Excess energy over the best structure of this formula in the dataset**: 0.641 eV per atom
**Theoretical density**: 7.5 g/cm³
**Formation energy from raw total energies**: 1220 meV/atom
**DOS at the Fermi energy**: 5.4 states/eV/cell

Question: Which of these has the highest theoretical density?
Answer: PbWO3